An optimized crystal structure of Re2TcIr. Source: Alexandria, functional GGA-PBEsol.

Structure (POSCAR):
```
Re2TcIr
1.0
2.715 0.000 0.000
0.000 3.867 0.000
0.000 0.000 5.458
Re Tc Ir
2 1 1
Cartesian
0.000 0.000 0.000 Re
1.357 1.933 1.370 Re
0.000 0.000 2.676 Tc
1.357 1.933 4.075 Ir
```

**Calculated total energy**: -12.0031 eV/atom
**Volume**: 57.3 Å³/f.u.
**Offset from the most stable computed form**: 5 meV/atom
**ΔH_f (0 K)**: -0.065 eV per atom
**Calculated density**: 19.21 Mg/m³



An optimized crystal structure of Re2TcIr. Source: Alexandria, functional GGA-PBEsol.

Structure (POSCAR):
```
Re2TcIr
1.0
2.724 0.000 0.000
-1.362 2.359 0.000
0.000 0.000 26.762
Re Tc Ir
6 3 3
Cartesian
0.000 0.000 0.000 Re
0.000 0.000 6.659 Re
0.000 1.572 17.841 Re
0.000 1.572 24.500 Re
1.362 0.786 8.921 Re
1.362 0.786 15.580 Re
0.000 0.000 20.026 Tc
0.000 1.572 11.105 Tc
1.362 0.786 2.185 Tc
0.000 0.000 13.353 Ir
0.000 1.572 4.432 Ir
1.362 0.786 22.273 Ir
```

**Calculated total energy**: -11.9573 eV/atom
**Volume**: 57.3 Å³/f.u.
**Offset from the most stable computed form**: 51 meV/atom
**ΔH_f (0 K)**: -0.019 eV per atom
**Calculated density**: 19.20 Mg/m³